(w)
Crystalline K2Cd4Rh at its relaxed geometry, computed with PBE-GGA.

Total moment (μB/f.u.): 0.000

extended XYZ file:
```
7
Lattice="-2.650 2.650 8.766 2.650 -2.650 8.766 2.650 2.650 -8.766" Properties=species:S:1:pos:R:3 pbc="T T T"
K 0.000 0.000 2.536
K 0.000 0.000 14.995
Cd 2.650 0.000 0.000
Cd 0.000 0.000 6.141
Cd 0.000 2.650 0.000
Cd 0.000 0.000 11.391
Rh 0.000 0.000 8.766
```


(x)
Crystalline K2Cd4Rh at its relaxed geometry, computed with PBE-GGA.

Total moment (μB/f.u.): 0.000

extended XYZ file:
```
7
Lattice="2.650 -7.625 0.000 2.650 7.625 0.000 0.000 0.000 5.315" Properties=species:S:1:pos:R:3 pbc="T T T"
K 2.650 5.335 0.000
K 2.650 -5.335 0.000
Cd 0.000 0.000 2.657
Cd 2.650 2.666 2.657
Cd 2.650 0.000 0.000
Cd 2.650 -2.666 2.657
Rh 2.650 0.000 2.657
```


Most stable to least stable, the ends of the list are (x) and (w).


(w)
Crystalline KCd2Ru at its relaxed geometry, computed with PBE-GGA.

Total moment (μB/f.u.): 0.502

extended XYZ file:
```
4
Lattice="-1.413 2.893 6.037 1.413 -2.893 6.037 1.413 2.893 -6.037" Properties=species:S:1:pos:R:3 pbc="T T T"
K 0.000 0.000 0.000
Cd 1.413 0.000 3.625
Cd 0.000 2.893 2.412
Ru 0.000 0.000 6.037
```


(x)
Crystalline KCd2Ru at its relaxed geometry, computed with PBE-GGA.

Total moment (μB/f.u.): 0.410

extended XYZ file:
```
4
Lattice="1.528 0.882 10.747 -1.528 0.882 10.747 0.000 -1.764 10.747" Properties=species:S:1:pos:R:3 pbc="T T T"
K 0.000 0.000 0.000
Cd 0.000 0.000 7.644
Cd 0.000 0.000 24.597
Ru 0.000 0.000 16.121
```


(y)
Crystalline KCd2Ru at its relaxed geometry, computed with PBE-GGA.

Total moment (μB/f.u.): 0.271

extended XYZ file:
```
4
Lattice="3.413 0.000 0.000 0.000 3.413 0.000 0.000 0.000 8.272" Properties=species:S:1:pos:R:3 pbc="T T T"
K 0.000 0.000 0.000
Cd 1.707 1.707 2.672
Cd 1.707 1.707 5.600
Ru 0.000 0.000 4.136
```


Most stable to least stable, the ends of the list are (y) and (w).


(w)
Crystalline KCd2Ru at its relaxed geometry, computed with PBE-GGA.

Total moment (μB/f.u.): 0.581

extended XYZ file:
```
4
Lattice="3.666 0.000 0.000 0.000 3.666 0.000 0.000 0.000 8.043" Properties=species:S:1:pos:R:3 pbc="T T T"
K 0.000 0.000 0.000
Cd 0.000 0.000 3.367
Cd 1.833 1.833 5.317
Ru 1.833 1.833 2.584
```


(x)
Crystalline KCd2Ru at its relaxed geometry, computed with PBE-GGA.

Total moment (μB/f.u.): 0.000

extended XYZ file:
```
4
Lattice="0.000 3.532 3.532 3.532 0.000 3.532 3.532 3.532 0.000" Properties=species:S:1:pos:R:3 pbc="T T T"
K 0.000 0.000 0.000
Cd 1.766 1.766 1.766
Cd 3.532 3.532 3.532
Ru 5.297 5.297 5.297
```


(y)
Crystalline KCd2Ru at its relaxed geometry, computed with PBE-GGA.

Total moment (μB/f.u.): 0.000

extended XYZ file:
```
4
Lattice="4.681 -1.435 0.000 4.681 1.435 0.000 -0.593 0.000 7.232" Properties=species:S:1:pos:R:3 pbc="T T T"
K 0.000 0.000 0.000
Cd 1.801 0.000 4.913
Cd 6.969 0.000 2.319
Ru 4.385 0.000 3.616
```


Most stable to least stable, the ends of the list are (y) and (x).


(w)
Crystalline KCdS3 at its relaxed geometry, computed with PBE-GGA.

Total moment (μB/f.u.): 0.000

extended XYZ file:
```
5
Lattice="5.093 0.000 0.000 0.000 5.093 0.000 0.000 0.000 5.093" Properties=species:S:1:pos:R:3 pbc="T T T"
K 0.000 0.000 0.000
Cd 2.546 2.546 2.546
S 0.000 2.546 2.546
S 2.546 0.000 2.546
S 2.546 2.546 0.000
```


(x)
Crystalline KCdS3 at its relaxed geometry, computed with PBE-GGA.

Total moment (μB/f.u.): 3.501

extended XYZ file:
```
5
Lattice="5.557 0.000 0.000 0.000 5.557 0.000 0.000 0.000 5.557" Properties=species:S:1:pos:R:3 pbc="T T T"
K 0.000 0.000 0.000
Cd 2.779 2.779 2.779
S 0.000 0.000 2.779
S 0.000 2.779 0.000
S 2.779 0.000 0.000
```


Most stable to least stable, the ends of the list are (w) and (x).